(1)
Tb3SbO6 | PBE-GGA | relaxed

## Properties
- DFT total energy: -7.69 eV/atom

CIF file:
```
data_Tb3SbO6
_chemical_formula_sum 'Tb18 Sb6 O36'
_cell_length_a 9.7444
_cell_length_b 9.7444
_cell_length_c 11.4509
_cell_angle_alpha 90.00
_cell_angle_beta 90.00
_cell_angle_gamma 120.00
_space_group_name_H-M_alt 'R -3'
_space_group_IT_number 148
_space_group_name_Hall '-R 3'
loop_
_atom_site_label
_atom_site_fract_x
_atom_site_fract_y
_atom_site_fract_z
Tb1 0.0394 0.2650 0.2090
Sb1 0.0000 0.0000 0.0000
Sb2 0.0000 0.0000 0.5000
O1 0.0247 0.2216 0.4032
O2 0.0281 0.1877 0.8665
```

---

(2)
Tb2SbO | PBE-GGA | relaxed

## Properties
- Energy above the most stable polymorph in this dataset: 340 meV per atom

CIF file:
```
data_Tb2SbO
_chemical_formula_sum 'Tb6 Sb3 O3'
_cell_length_a 3.7315
_cell_length_b 3.7315
_cell_length_c 20.9696
_cell_angle_alpha 90.00
_cell_angle_beta 90.00
_cell_angle_gamma 120.00
_space_group_name_H-M_alt 'R -3 m'
_space_group_IT_number 166
_space_group_name_Hall '-R 3 2"'
loop_
_atom_site_label
_atom_site_fract_x
_atom_site_fract_y
_atom_site_fract_z
Tb1 0.0000 0.0000 0.2277
Sb1 0.0000 0.0000 0.0000
O1 0.0000 0.0000 0.5000
```

---

(3)
Tb4Sb2O | PBE-GGA | relaxed

## Properties
- Energy above the most stable polymorph in this dataset: 0 meV per atom

CIF file:
```
data_Tb4Sb2O
_chemical_formula_sum 'Tb8 Sb4 O2'
_cell_length_a 4.5364
_cell_length_b 4.5364
_cell_length_c 16.8709
_cell_angle_alpha 90.00
_cell_angle_beta 90.00
_cell_angle_gamma 90.00
_space_group_name_H-M_alt 'I 4/m m m'
_space_group_IT_number 139
_space_group_name_Hall '-I 4 2'
loop_
_atom_site_label
_atom_site_fract_x
_atom_site_fract_y
_atom_site_fract_z
Tb1 0.0000 0.0000 0.1770
Tb2 0.0000 0.5000 0.0000
Sb1 0.0000 0.0000 0.3621
O1 0.0000 0.0000 0.0000
```

---

(4)
TbSbO2 | PBE-GGA | relaxed

## Properties
- DFT total energy: -5.98 eV/atom

CIF file:
```
data_TbSbO2
_chemical_formula_sum 'Tb3 Sb3 O6'
_cell_length_a 3.7318
_cell_length_b 3.7318
_cell_length_c 19.5014
_cell_angle_alpha 90.00
_cell_angle_beta 90.00
_cell_angle_gamma 120.00
_space_group_name_H-M_alt 'R -3 m'
_space_group_IT_number 166
_space_group_name_Hall '-R 3 2"'
loop_
_atom_site_label
_atom_site_fract_x
_atom_site_fract_y
_atom_site_fract_z
Tb1 0.0000 0.0000 0.0000
Sb1 0.0000 0.0000 0.5000
O1 0.0000 0.0000 0.1123
```

---

(5)
TbSbO | PBE-GGA | relaxed

## Properties
- DFT total energy: -6.52 eV/atom

CIF file:
```
data_TbSbO
_chemical_formula_sum 'Tb2 Sb2 O2'
_cell_length_a 3.8472
_cell_length_b 3.8472
_cell_length_c 10.1312
_cell_angle_alpha 90.00
_cell_angle_beta 90.00
_cell_angle_gamma 120.00
_space_group_name_H-M_alt 'P -3 m 1'
_space_group_IT_number 164
_space_group_name_Hall '-P 3 2"'
loop_
_atom_site_label
_atom_site_fract_x
_atom_site_fract_y
_atom_site_fract_z
Tb1 0.3333 0.6667 0.3567
Sb1 0.3333 0.6667 0.9046
O1 0.3333 0.6667 0.5845
```

---

(6)
Tb3Sb2O | PBE-GGA | relaxed

## Properties
- DFT total energy: -6.04 eV/atom

CIF file:
```
data_Tb3Sb2O
_chemical_formula_sum 'Tb12 Sb8 O4'
_cell_length_a 11.1914
_cell_length_b 8.2935
_cell_length_c 6.4693
_cell_angle_alpha 90.00
_cell_angle_beta 90.00
_cell_angle_gamma 90.00
_space_group_name_H-M_alt 'C m c 21'
_space_group_IT_number 36
loop_
_space_group_symop_operation_xyz
'x,y,z'
'-x,-y,z+1/2'
'-x,y,z'
'x,-y,z+1/2'
'x+1/2,y+1/2,z'
'-x+1/2,-y+1/2,z+1/2'
'-x+1/2,y+1/2,z'
'x+1/2,-y+1/2,z+1/2'
loop_
_atom_site_label
_atom_site_fract_x
_atom_site_fract_y
_atom_site_fract_z
Tb1 0.0000 0.1497 0.0000
Tb2 0.1535 0.4988 0.2970
Sb1 0.1516 0.1787 0.5546
O1 0.0000 0.4227 0.0543
```